VASP calculation (GGA-PBE) on a relaxed structure of HgI2NF.

Values from the calculation:
D(E_F) = 6.47 states/eV/cell
formation energy from raw total energies = 88.9 kJ/mol of atoms
electronic total energy = -9.0 eV per cell

Unit cell a=6.0314 b=6.0314 c=4.1929 alpha=90.00 beta=90.00 gamma=90.00
With the nearest neighbours (Å) after each atom.
Space group P4/mmm (No. 123)
Asymmetric unit:
Hg1 0.0000 0.0000 0.0000 [1 per cell]  2 N 2.10
I1 0.0000 0.5000 0.0000 [2 per cell]  2 Hg 3.02
N1 0.0000 0.0000 0.5000 [1 per cell]  2 Hg 2.10
F1 0.5000 0.5000 0.5000 [1 per cell]  8 I 3.67

---

VASP calculation (GGA-PBE) on a relaxed structure of KRe3N.

Values from the calculation:
D(E_F) = 6.36 states/eV/cell
formation energy from raw total energies = 134.9 kJ/mol of atoms
electronic total energy = -39.8 eV per cell

Unit cell a=4.2367 b=4.2367 c=4.2367 alpha=90.00 beta=90.00 gamma=90.00
With the nearest neighbours (Å) after each atom.
Space group Pm-3m (No. 221)
Asymmetric unit:
K1 0.0000 0.0000 0.0000 [1 per cell]  12 Re 3.00
Re1 0.0000 0.5000 0.5000 [3 per cell]  2 N 2.12
N1 0.5000 0.5000 0.5000 [1 per cell]  6 Re 2.12

---

VASP calculation (GGA-PBE) on a relaxed structure of CoOsRh2.

Values from the calculation:
D(E_F) = 4.65 states/eV/cell
electronic total energy = -32.7 eV per cell
energy of formation = 37 kJ/mol of formula units

Unit cell a=2.6853 b=3.7465 c=5.3360 alpha=90.00 beta=90.00 gamma=90.00
With the nearest neighbours (Å) after each atom.
Space group Pmm2 (No. 25)
Asymmetric unit:
Co1 0.0000 0.0000 0.0000 [1 per cell]  6 Rh 2.58-2.75, 4 Os 2.62, 2 Co 2.69
Os1 0.5000 0.5000 0.2336 [1 per cell]  6 Rh 2.55-2.79, 4 Co 2.62, 2 Os 2.69
Rh1 0.0000 0.0000 0.4842 [1 per cell]  2 Co 2.58-2.75, 4 Os 2.66, 6 Rh 2.69-2.72
Rh2 0.5000 0.5000 0.7561 [1 per cell]  2 Os 2.55-2.79, 4 Co 2.65, 6 Rh 2.69-2.72